A plane-wave DFT calculation with PBE-GGA was carried out for a geometry-optimized Ac4PtN2 structure.

```
Ac4PtN2
1.0
-0.1685 -3.3342 -2.2488
6.2522 2.6484 -0.7927
4.5027 -7.4324 10.6824
Ac Pt N
8 2 4
Direct
0.7739 0.5478 0.1085 Ac
0.7739 0.5478 0.3915 Ac
0.2261 0.4522 0.8915 Ac
0.2261 0.4522 0.6085 Ac
0.9345 0.8690 0.7500 Ac
0.0655 0.1310 0.2500 Ac
0.5000 0.0000 0.0000 Ac
0.5000 0.0000 0.5000 Ac
0.6078 0.2157 0.7500 Pt
0.3922 0.7843 0.2500 Pt
0.1338 0.2676 0.4425 N
0.8662 0.7324 0.9425 N
0.1338 0.2676 0.0575 N
0.8662 0.7324 0.5575 N
```

Uncorrected formation energy = -598 kJ/mol of formula units
Calculated volume = 25.9 Å³ per atom
Mass density = 10.37 Mg/m³
Density of states at the Fermi level = 12.3 states/eV/cell
Electronic total energy = -0.476 Ry/atom
Space-group type = No. 63